[1]
Material: ErMgAgPb
Method: DFT, GGA-PBE
State: relaxed

Structure (CIF):
```
data_ErMgAgPb
_chemical_formula_sum 'Er4 Mg4 Ag4 Pb4'
_cell_length_a 7.233
_cell_length_b 7.233
_cell_length_c 7.233
_cell_angle_alpha 90.00
_cell_angle_beta 90.00
_cell_angle_gamma 90.00
_space_group_name_H-M_alt 'F -4 3 m'
_space_group_IT_number 216
_space_group_name_Hall 'F -4 2 3'
loop_
_atom_site_label
_atom_site_fract_x
_atom_site_fract_y
_atom_site_fract_z
Er1 0.000 0.000 0.000
Mg1 0.000 0.000 0.500
Ag1 0.250 0.250 0.250
Pb1 0.250 0.250 0.750
```

Results
The value obtained for the total magnetization is 0.000 μB/cell. As for the energy of formation: -285 meV/atom. As for the total energy: -55.435 eV/cell.



[2]
Material: SbTeSeN2
Method: DFT, GGA-PBE
State: relaxed

Structure (CIF):
```
data_SbTeSeN2
_chemical_formula_sum 'Sb1 Te1 Se1 N2'
_cell_length_a 4.122
_cell_length_b 4.122
_cell_length_c 5.518
_cell_angle_alpha 90.00
_cell_angle_beta 90.00
_cell_angle_gamma 90.00
_space_group_name_H-M_alt 'P 4/m m m'
_space_group_IT_number 123
_space_group_name_Hall '-P 4 2'
loop_
_atom_site_label
_atom_site_fract_x
_atom_site_fract_y
_atom_site_fract_z
Sb1 0.000 0.000 0.000
Te1 0.500 0.500 0.500
Se1 0.500 0.500 0.000
N1 0.000 0.500 0.500
```

Results
The value obtained for the total magnetization is 0.000 μB/cell. Its distance to the lowest polymorph of the same formula is 105 meV/atom. As for the total energy: -20.845 eV/cell. The calculation puts the uncorrected formation energy at 1311 meV per atom.



[3]
Material: TaV2ZnI
Method: DFT, GGA-PBE
State: relaxed

Structure (CIF):
```
data_TaV2ZnI
_chemical_formula_sum 'Ta1 V2 Zn1 I1'
_cell_length_a 4.785
_cell_length_b 4.785
_cell_length_c 4.912
_cell_angle_alpha 90.00
_cell_angle_beta 90.00
_cell_angle_gamma 90.00
_space_group_name_H-M_alt 'P 4/m m m'
_space_group_IT_number 123
_space_group_name_Hall '-P 4 2'
loop_
_atom_site_label
_atom_site_fract_x
_atom_site_fract_y
_atom_site_fract_z
Ta1 0.000 0.000 0.000
V1 0.000 0.500 0.500
Zn1 0.500 0.500 0.000
I1 0.500 0.500 0.500
```

Results
The value obtained for the total magnetization is 2.449 μB/cell. As for the total energy: -23.557 eV/cell. The calculation puts the uncorrected formation energy at 1871 meV per atom.



[4]
Material: DyThPb
Method: DFT, GGA-PBE
State: relaxed

Structure (CIF):
```
data_DyThPb
_chemical_formula_sum 'Dy1 Th1 Pb1'
_cell_length_a 5.4630
_cell_length_b 5.4630
_cell_length_c 3.5889
_cell_angle_alpha 90.00
_cell_angle_beta 90.00
_cell_angle_gamma 120.00
_space_group_name_H-M_alt 'P 3 m 1'
_space_group_IT_number 156
_space_group_name_Hall 'P 3 -2"'
loop_
_atom_site_label
_atom_site_fract_x
_atom_site_fract_y
_atom_site_fract_z
Dy1 0.0000 0.0000 0.0000
Th1 0.3333 0.6667 0.5239
Pb1 0.6667 0.3333 0.1884
```

Results
The value obtained for the total magnetization is 0.000 μB/cell. As for the energy of formation: -50 meV/atom. Its distance to the lowest polymorph of the same formula is 297 meV/atom. As for the total energy: -15.879 eV/cell.



Number 1: calculated density 8.9 g cm⁻³. Number 2: calculated density 6.3 g cm⁻³. Number 3: calculated density 7.0 g cm⁻³. Number 4: calculated density 10.8 g cm⁻³.